# 1
This record from OQMD describes Ag2SnWS6 after structural relaxation. The functional is PBE.

Cell lengths 6.930, 6.930, 6.930 Å; angles 60.00, 60.00, 60.00 degrees
Positions (direct):
Ag: 0.250 0.250 0.250
Ag: 0.750 0.750 0.750
Sn: 0.000 0.000 0.000
W: 0.500 0.500 0.500
S: 0.259 0.259 0.741
S: 0.259 0.741 0.259
S: 0.259 0.741 0.741
S: 0.741 0.259 0.259
S: 0.741 0.259 0.741
S: 0.741 0.741 0.259

ρ = 5.0 Mg/m³
E = -4.412 eV/atom
size of the total moment = 0.00 μB per formula unit



# 2
This record from OQMD describes SrTbAgS3 after structural relaxation. The functional is PBE.

Cell lengths 10.418, 4.050, 13.332 Å; angles 90.00, 90.00, 90.00 degrees
Positions (direct):
Sr: 0.226 0.250 0.002
Sr: 0.274 0.750 0.502
Sr: 0.726 0.250 0.498
Sr: 0.774 0.750 0.998
Tb: 0.017 0.750 0.743
Tb: 0.483 0.250 0.243
Tb: 0.517 0.750 0.757
Tb: 0.983 0.250 0.257
Ag: 0.234 0.750 0.225
Ag: 0.266 0.250 0.725
Ag: 0.734 0.750 0.275
Ag: 0.766 0.250 0.775
S: 0.039 0.750 0.115
S: 0.078 0.250 0.609
S: 0.237 0.250 0.340
S: 0.263 0.750 0.840
S: 0.422 0.750 0.109
S: 0.461 0.250 0.615
S: 0.539 0.750 0.385
S: 0.578 0.250 0.891
S: 0.737 0.250 0.160
S: 0.763 0.750 0.660
S: 0.922 0.750 0.391
S: 0.961 0.250 0.885

polymorph energy (0 for the lowest one) = 0.016 eV per atom
ρ = 5.3 Mg/m³
size of the total moment = 0.00 μB per formula unit



# 3
This record from OQMD describes SrTbAgS3 after structural relaxation. The functional is PBE.

Cell lengths 6.973, 6.973, 10.353 Å; angles 90.00, 90.00, 146.23 degrees
Positions (direct):
Sr: 0.249 0.751 0.750
Sr: 0.751 0.249 0.250
Tb: 0.000 0.000 0.000
Tb: 0.000 0.000 0.500
Ag: 0.473 0.527 0.250
Ag: 0.527 0.473 0.750
S: 0.088 0.912 0.250
S: 0.361 0.639 0.056
S: 0.361 0.639 0.444
S: 0.639 0.361 0.556
S: 0.639 0.361 0.944
S: 0.912 0.088 0.750

polymorph energy (0 for the lowest one) = 0.017 eV per atom
ρ = 5.3 Mg/m³
size of the total moment = 0.01 μB per formula unit



# 4
This record from OQMD describes SrTbAgS3 after structural relaxation. The functional is PBE.

Cell lengths 8.922, 8.922, 8.380 Å; angles 103.02, 103.02, 25.84 degrees
Positions (direct):
Sr: 0.133 0.133 0.073
Sr: 0.867 0.867 0.927
Tb: 0.165 0.165 0.589
Tb: 0.835 0.835 0.411
Ag: 0.476 0.476 0.288
Ag: 0.524 0.524 0.712
S: 0.000 0.000 0.500
S: 0.319 0.319 0.177
S: 0.328 0.328 0.638
S: 0.500 0.500 0.000
S: 0.672 0.672 0.362
S: 0.681 0.681 0.823

polymorph energy (0 for the lowest one) = 0.000 eV per atom
ρ = 5.3 Mg/m³
size of the total moment = 0.00 μB per formula unit



# 5
This record from OQMD describes SrTbAgS3 after structural relaxation. The functional is PBE.

Cell lengths 13.399, 4.044, 10.520 Å; angles 90.00, 90.00, 90.00 degrees
Positions (direct):
Sr: 0.231 0.250 0.041
Sr: 0.269 0.750 0.541
Sr: 0.731 0.250 0.459
Sr: 0.769 0.750 0.959
Tb: 0.016 0.250 0.331
Tb: 0.484 0.750 0.831
Tb: 0.516 0.250 0.169
Tb: 0.984 0.750 0.669
Ag: 0.003 0.750 0.094
Ag: 0.497 0.250 0.594
Ag: 0.503 0.750 0.406
Ag: 0.997 0.250 0.906
S: 0.104 0.250 0.567
S: 0.117 0.750 0.874
S: 0.145 0.750 0.252
S: 0.355 0.250 0.752
S: 0.383 0.250 0.374
S: 0.396 0.750 0.067
S: 0.604 0.250 0.933
S: 0.617 0.750 0.626
S: 0.645 0.750 0.248
S: 0.855 0.250 0.748
S: 0.883 0.250 0.126
S: 0.896 0.750 0.433

polymorph energy (0 for the lowest one) = 0.015 eV per atom
ρ = 5.3 Mg/m³
size of the total moment = 0.00 μB per formula unit



# 6
This record from OQMD describes SrTbAgS3 after structural relaxation. The functional is PBE.

Cell lengths 7.638, 4.034, 9.650 Å; angles 90.00, 105.91, 90.00 degrees
Positions (direct):
Sr: 0.240 0.250 0.207
Sr: 0.760 0.750 0.793
Tb: 0.196 0.750 0.653
Tb: 0.804 0.250 0.347
Ag: 0.398 0.250 0.909
Ag: 0.602 0.750 0.091
S: 0.062 0.750 0.360
S: 0.210 0.750 0.954
S: 0.445 0.250 0.660
S: 0.555 0.750 0.340
S: 0.790 0.250 0.046
S: 0.938 0.250 0.640

polymorph energy (0 for the lowest one) = 0.019 eV per atom
ρ = 5.2 Mg/m³
size of the total moment = 0.00 μB per formula unit



# 7
This record from OQMD describes SrTmAgTeS2 after structural relaxation. The functional is PBE.

Cell lengths 7.518, 7.518, 10.948 Å; angles 90.00, 90.00, 148.70 degrees
Positions (direct):
Sr: 0.207 0.793 0.750
Sr: 0.793 0.207 0.250
Tm: 0.000 0.000 0.000
Tm: 0.000 0.000 0.500
Ag: 0.485 0.515 0.250
Ag: 0.515 0.485 0.750
Te: 0.113 0.887 0.250
Te: 0.887 0.113 0.750
S: 0.380 0.620 0.067
S: 0.380 0.620 0.433
S: 0.620 0.380 0.567
S: 0.620 0.380 0.933

ρ = 5.7 Mg/m³
E = -4.804 eV/atom
size of the total moment = 0.00 μB per formula unit



# 8
This record from OQMD describes SrTmAgTe2S after structural relaxation. The functional is PBE.

Cell lengths 7.592, 7.592, 10.570 Å; angles 90.00, 90.00, 147.00 degrees
Positions (direct):
Sr: 0.229 0.771 0.750
Sr: 0.771 0.229 0.250
Tm: 0.500 0.500 0.000
Tm: 0.500 0.500 0.500
Ag: 0.020 0.980 0.250
Ag: 0.980 0.020 0.750
Te: 0.146 0.854 0.053
Te: 0.146 0.854 0.447
Te: 0.854 0.146 0.553
Te: 0.854 0.146 0.947
S: 0.424 0.576 0.250
S: 0.576 0.424 0.750

ρ = 6.5 Mg/m³
E = -4.539 eV/atom
size of the total moment = 0.00 μB per formula unit



# 9
This record from OQMD describes SrYAgS3 after structural relaxation. The functional is PBE.

Cell lengths 8.912, 8.912, 8.378 Å; angles 103.03, 103.03, 25.79 degrees
Positions (direct):
Sr: 0.133 0.133 0.073
Sr: 0.867 0.867 0.927
Y: 0.165 0.165 0.588
Y: 0.835 0.835 0.412
Ag: 0.476 0.476 0.287
Ag: 0.524 0.524 0.713
S: 0.000 0.000 0.500
S: 0.319 0.319 0.178
S: 0.328 0.328 0.638
S: 0.500 0.500 0.000
S: 0.672 0.672 0.362
S: 0.681 0.681 0.822

ρ = 4.5 Mg/m³
E = -5.509 eV/atom
size of the total moment = 0.00 μB per formula unit



# 10
This record from OQMD describes TaAg7S6 after structural relaxation. The functional is PBE.

Cell lengths 7.864, 7.312, 13.183 Å; angles 90.00, 126.00, 90.00 degrees
Positions (direct):
Ta: 0.000 0.248 0.000
Ta: 0.000 0.752 0.500
Ag: 0.016 0.207 0.533
Ag: 0.016 0.793 0.033
Ag: 0.052 0.019 0.746
Ag: 0.052 0.981 0.246
Ag: 0.276 0.465 0.492
Ag: 0.276 0.535 0.992
Ag: 0.341 0.345 0.299
Ag: 0.341 0.655 0.799
Ag: 0.464 0.127 0.664
Ag: 0.464 0.873 0.164
Ag: 0.498 0.039 0.937
Ag: 0.498 0.961 0.437
Ag: 0.933 0.421 0.700
Ag: 0.933 0.579 0.200
S: 0.292 0.272 0.766
S: 0.292 0.728 0.266
S: 0.365 0.238 0.125
S: 0.365 0.762 0.625
S: 0.566 0.270 0.530
S: 0.566 0.730 0.030
S: 0.846 0.247 0.106
S: 0.846 0.753 0.606
S: 0.859 0.015 0.855
S: 0.859 0.985 0.355
S: 0.877 0.493 0.376
S: 0.877 0.507 0.876

ρ = 6.1 Mg/m³
E = -4.306 eV/atom
size of the total moment = 0.00 μB per formula unit



# 11
This record from OQMD describes TbAgTeS after structural relaxation. The functional is PBE.

Cell lengths 6.968, 6.968, 4.300 Å; angles 90.00, 90.00, 98.63 degrees
Positions (direct):
Tb: 0.000 0.000 0.000
Tb: 0.500 0.500 0.406
Ag: 0.000 0.500 0.112
Ag: 0.500 0.000 0.112
Te: 0.210 0.790 0.494
Te: 0.790 0.210 0.494
S: 0.301 0.301 0.922
S: 0.699 0.699 0.922

polymorph energy (0 for the lowest one) = 0.005 eV per atom
ρ = 6.9 Mg/m³
size of the total moment = 0.00 μB per formula unit



# 12
This record from OQMD describes TbAgTeS after structural relaxation. The functional is PBE.

Cell lengths 4.408, 6.881, 6.882 Å; angles 90.00, 92.16, 90.00 degrees
Positions (direct):
Tb: 0.218 0.000 0.293
Tb: 0.782 0.500 0.707
Ag: 0.005 0.480 0.247
Ag: 0.995 0.980 0.753
Te: 0.298 0.285 0.947
Te: 0.702 0.785 0.053
S: 0.259 0.693 0.550
S: 0.741 0.193 0.450

polymorph energy (0 for the lowest one) = 0.000 eV per atom
ρ = 6.8 Mg/m³
size of the total moment = 0.00 μB per formula unit